# 1
Here is a geometry-optimized LaTl2 structure from Alexandria via LeMat-Bulk. Energies are from PBE.

## Properties
The formation energy comes out at 0.152 eV per atom. For the mass density, the calculation gives 8.03 g/cm3. The value obtained for the total magnetization is 0.000 μB/f.u.

abc: 7.6816 7.6816 7.6816
angles: 90.00 90.00 90.00
Fractional positions:
La: 0.0000 0.0000 0.0000
La: 0.0000 0.5000 0.5000
La: 0.5000 0.0000 0.5000
La: 0.5000 0.5000 0.0000
Tl: 0.1153 0.6153 0.8847
Tl: 0.1153 0.8847 0.3847
Tl: 0.3847 0.1153 0.8847
Tl: 0.3847 0.3847 0.3847
Tl: 0.6153 0.6153 0.6153
Tl: 0.6153 0.8847 0.1153
Tl: 0.8847 0.1153 0.6153
Tl: 0.8847 0.3847 0.1153


# 2
Here is a geometry-optimized SmAgPtPb structure from Alexandria via LeMat-Bulk. Energies are from PBE.

## Properties
The formation energy comes out at -0.511 eV per atom. For the mass density, the calculation gives 12.24 g/cm3. The value obtained for the total magnetization is 0.000 μB/f.u.

abc: 5.0234 5.0234 5.0234
angles: 60.00 60.00 60.00
Fractional positions:
Sm: 0.0000 0.0000 0.0000
Ag: 0.7500 0.7500 0.7500
Pt: 0.2500 0.2500 0.2500
Pb: 0.5000 0.5000 0.5000


# 3
Here is a geometry-optimized TbYNb structure from Alexandria via LeMat-Bulk. Energies are from PBE.

## Properties
The formation energy comes out at 0.095 eV per atom. For the mass density, the calculation gives 6.93 g/cm3. The value obtained for the total magnetization is 0.000 μB/f.u.

abc: 3.5196 3.5196 13.1813
angles: 90.00 90.00 90.00
Fractional positions:
Tb: 0.2500 0.2500 0.0928
Tb: 0.7500 0.7500 0.9072
Y: 0.2500 0.2500 0.7024
Y: 0.7500 0.7500 0.2976
Nb: 0.2500 0.2500 0.4525
Nb: 0.7500 0.7500 0.5475


# 4
Here is a geometry-optimized BaInSeN2 structure from Alexandria via LeMat-Bulk. Energies are from PBE.

## Properties
As for the energy above the most stable polymorph in this dataset: 0.908 eV per atom. For the mass density, the calculation gives 3.93 g/cm3. The value obtained for the total magnetization is 2.614 μB/f.u.

abc: 4.7668 4.7668 6.6750
angles: 90.00 90.00 90.00
Fractional positions:
Ba: 0.0000 0.0000 0.0000
In: 0.5000 0.5000 0.5000
Se: 0.0000 0.0000 0.5000
N: 0.0000 0.5000 0.0000
N: 0.5000 0.0000 0.0000


# 5
Here is a geometry-optimized Tl12Hg5Ge3 structure from Alexandria via LeMat-Bulk. Energies are from PBE.

## Properties
The formation energy comes out at 0.179 eV per atom. For the mass density, the calculation gives 8.82 g/cm3. The value obtained for the total magnetization is 0.000 μB/f.u.

abc: 15.3152 15.3152 15.3152
angles: 109.47 109.47 109.47
Fractional positions:
Tl: 0.0660 0.2329 0.1370
Tl: 0.0660 0.3331 0.9289
Tl: 0.0711 0.6370 0.4041
Tl: 0.0711 0.9340 0.6669
Tl: 0.0959 0.7329 0.6669
Tl: 0.0959 0.8630 0.4289
Tl: 0.1370 0.0660 0.2329
Tl: 0.1370 0.5711 0.9041
Tl: 0.1669 0.2329 0.5959
Tl: 0.1669 0.4340 0.5711
Tl: 0.2329 0.1370 0.0660
Tl: 0.2329 0.5959 0.1669
Tl: 0.2671 0.3331 0.9041
Tl: 0.2671 0.4340 0.3630
Tl: 0.3331 0.9041 0.2671
Tl: 0.3331 0.9289 0.0660
Tl: 0.3630 0.2671 0.4340
Tl: 0.3630 0.5959 0.9289
Tl: 0.4041 0.0711 0.6370
Tl: 0.4041 0.8331 0.7671
Tl: 0.4289 0.0959 0.8630
Tl: 0.4289 0.8331 0.5660
Tl: 0.4340 0.3630 0.2671
Tl: 0.4340 0.5711 0.1669
Tl: 0.5660 0.4289 0.8331
Tl: 0.5660 0.6370 0.7329
Tl: 0.5711 0.1669 0.4340
Tl: 0.5711 0.9041 0.1370
Tl: 0.5959 0.1669 0.2329
Tl: 0.5959 0.9289 0.3630
Tl: 0.6370 0.4041 0.0711
Tl: 0.6370 0.7329 0.5660
Tl: 0.6669 0.0711 0.9340
Tl: 0.6669 0.0959 0.7329
Tl: 0.7329 0.5660 0.6370
Tl: 0.7329 0.6669 0.0959
Tl: 0.7671 0.4041 0.8331
Tl: 0.7671 0.8630 0.9340
Tl: 0.8331 0.5660 0.4289
Tl: 0.8331 0.7671 0.4041
Tl: 0.8630 0.4289 0.0959
Tl: 0.8630 0.9340 0.7671
Tl: 0.9041 0.1370 0.5711
Tl: 0.9041 0.2671 0.3331
Tl: 0.9289 0.0660 0.3331
Tl: 0.9289 0.3630 0.5959
Tl: 0.9340 0.6669 0.0711
Tl: 0.9340 0.7671 0.8630
Hg: 0.0000 0.0000 0.0000
Hg: 0.0000 0.0000 0.5000
Hg: 0.0000 0.5000 0.0000
Hg: 0.0000 0.5000 0.5000
Hg: 0.1250 0.7500 0.8750
Hg: 0.1250 0.8750 0.2500
Hg: 0.2500 0.1250 0.8750
Hg: 0.2500 0.6250 0.3750
Hg: 0.3750 0.2500 0.6250
Hg: 0.3750 0.6250 0.7500
Hg: 0.5000 0.0000 0.0000
Hg: 0.5000 0.0000 0.5000
Hg: 0.5000 0.5000 0.0000
Hg: 0.5000 0.5000 0.5000
Hg: 0.6250 0.3750 0.2500
Hg: 0.6250 0.7500 0.3750
Hg: 0.7500 0.3750 0.6250
Hg: 0.7500 0.8750 0.1250
Hg: 0.8750 0.1250 0.7500
Hg: 0.8750 0.2500 0.1250
Ge: 0.1250 0.2500 0.3750
Ge: 0.1250 0.3750 0.7500
Ge: 0.2500 0.3750 0.1250
Ge: 0.2500 0.8750 0.6250
Ge: 0.3750 0.1250 0.2500
Ge: 0.3750 0.7500 0.1250
Ge: 0.6250 0.2500 0.8750
Ge: 0.6250 0.8750 0.7500
Ge: 0.7500 0.1250 0.3750
Ge: 0.7500 0.6250 0.8750
Ge: 0.8750 0.6250 0.2500
Ge: 0.8750 0.7500 0.6250


# 6
Here is a geometry-optimized HoVCu4 structure from Alexandria via LeMat-Bulk. Energies are from PBE.

## Properties
The formation energy comes out at 0.013 eV per atom. For the mass density, the calculation gives 8.58 g/cm3. The value obtained for the total magnetization is 3.780 μB/f.u.

abc: 5.0489 5.0489 5.0489
angles: 60.00 60.00 60.00
Fractional positions:
Ho: 0.0000 0.0000 0.0000
V: 0.2500 0.2500 0.2500
Cu: 0.1278 0.6241 0.6241
Cu: 0.6241 0.1278 0.6241
Cu: 0.6241 0.6241 0.1278
Cu: 0.6241 0.6241 0.6241


# 7
Here is a geometry-optimized LaPbAu structure from Alexandria via LeMat-Bulk. Energies are from PBE.

## Properties
The formation energy comes out at -0.620 eV per atom. For the mass density, the calculation gives 10.26 g/cm3. The value obtained for the total magnetization is 0.000 μB/f.u.

abc: 4.9888 4.9888 8.6437
angles: 106.76 106.76 60.10
Fractional positions:
La: 0.2375 0.2375 0.2144
La: 0.7625 0.7625 0.7856
Pb: 0.0000 0.0000 0.5000
Pb: 0.5000 0.5000 0.0000
Au: 0.3752 0.3752 0.6242
Au: 0.6248 0.6248 0.3758


# 8
Here is a geometry-optimized Li4Pu3CoS8 structure from Alexandria via LeMat-Bulk. Energies are from PBE.

## Properties
For the mass density, the calculation gives 5.76 g/cm3. The value obtained for the total magnetization is 6.805 μB/f.u. The calculated total energy is -6.9206 eV per atom.

abc: 7.5602 7.5602 7.5296
angles: 118.98 118.98 60.47
Fractional positions:
Li: 0.0000 0.0000 0.0000
Li: 0.0000 0.5000 0.5000
Li: 0.5000 0.0000 0.5000
Li: 0.5000 0.5000 0.0000
Pu: 0.0000 0.0000 0.5000
Pu: 0.0000 0.5000 0.0000
Pu: 0.5000 0.0000 0.0000
Co: 0.5000 0.5000 0.5000
S: 0.2536 0.2536 0.7475
S: 0.2547 0.2547 0.2564
S: 0.2642 0.7322 0.7371
S: 0.2678 0.7358 0.2629
S: 0.7322 0.2642 0.7371
S: 0.7358 0.2678 0.2629
S: 0.7453 0.7453 0.7436
S: 0.7464 0.7464 0.2525